# 1
Material: CeCuW2O8
Method: DFT, GGA+U
State: optimized geometry

V	331.6	Å³/cell
calculated total energy	-7.4362	eV/atom
spin magnetization	2.01	Bohr magnetons per cell

Lattice parameters (Å, degrees): 7.2945 7.5113 7.6383 114.42 115.75 91.81
Last column: nearest neighbours and their distance in Å.
Positions (direct):
W (0.2720, 0.2946, 0.0398)  3 O 1.84-1.86
W (0.3519, 0.8980, 0.7091)  4 O 1.79-1.99
W (0.6481, 0.1020, 0.2909)  4 O 1.79-1.99
W (0.7280, 0.7054, 0.9602)  3 O 1.84-1.86
O (0.6139, 0.8292, 0.7409)  2 W 1.93-2.12
O (0.8008, 0.6387, 0.1867)  1 W 1.86, 1 Cu 2.06
O (0.1992, 0.3613, 0.8133)  1 W 1.86, 1 Cu 2.06
O (0.2937, 0.9960, 0.5186)  1 W 1.79
O (0.9492, 0.6915, 0.9030)  1 W 1.84, 1 Cu 1.89
O (0.8262, 0.3611, 0.4518)  1 W 1.86
O (0.0508, 0.3085, 0.0970)  1 W 1.84, 1 Cu 1.89
O (0.3861, 0.1708, 0.2591)  2 W 1.93-2.12
O (0.8591, 0.0088, 0.1995)  2 W 1.99-2.09
O (0.5237, 0.1741, 0.9973)  1 Cu 1.96, 2 W 2.09-2.16
O (0.1738, 0.6389, 0.5482)  1 W 1.86
O (0.1409, 0.9912, 0.8005)  2 W 1.99-2.09
O (0.5333, 0.4656, 0.7314)  1 W 1.84
O (0.7063, 0.0040, 0.4814)  1 W 1.79
O (0.4667, 0.5344, 0.2686)  1 W 1.84
O (0.4763, 0.8259, 0.0027)  1 Cu 1.96, 2 W 2.09-2.16
Cu (0.7768, 0.3327, 0.0462)  3 O 1.89-2.06
Cu (0.2232, 0.6673, 0.9538)  3 O 1.89-2.06
Ce (0.1828, 0.2861, 0.4633)  7 O 2.34-2.62
Ce (0.8172, 0.7139, 0.5367)  7 O 2.34-2.62


# 2
Material: CeCuW2O8
Method: DFT, GGA+U
State: optimized geometry

V	171.9	Å³/cell
calculated total energy	-7.4350	eV/atom
spin magnetization	1.01	Bohr magnetons per cell

Lattice parameters (Å, degrees): 5.1415 6.1045 6.3359 108.28 92.45 112.15
Last column: nearest neighbours and their distance in Å.
Positions (direct):
O (0.9036, 0.6004, 0.7516)  1 Cu 1.85, 1 W 1.94
O (0.8726, 0.1694, 0.3637)  1 W 1.83
O (0.3486, 0.6438, 0.5019)  1 W 1.82
O (0.4022, 0.1569, 0.0518)  1 W 1.82
O (0.8470, 0.2003, 0.8020)  1 Cu 1.85, 1 W 1.94
O (0.3979, 0.5876, 0.9398)  2 W 1.99-2.14
O (0.3527, 0.2131, 0.6139)  2 W 1.99-2.14
O (0.8781, 0.6313, 0.1899)  1 W 1.83
Ce (0.3753, 0.9003, 0.2768)  6 O 2.38-2.42
W (0.6257, 0.3864, 0.9371)  4 O 1.82-1.99
W (0.1249, 0.4142, 0.6166)  4 O 1.82-1.99
Cu (0.8752, 0.9002, 0.7764)  2 O 1.85